# 1
Below is crystalline ZrInRe2Au at its relaxed geometry, with properties calculated at the GGA-PBEsol level.

Cell: 4.7139 4.7139 5.2614 Å, 90.00 90.00 90.00°
With the nearest neighbours (Å) after each atom.
Space group P4/mmm (No. 123)
Unique sites:
1 Zr 0.0000 0.0000 0.0000 x1  4 Re 2.36, 2 In 2.63
2 In 0.0000 0.0000 0.5000 x1  2 Zr 2.63
3 Re 0.0000 0.5000 0.0000 x2  2 Zr 2.36
4 Au 0.5000 0.5000 0.5000 x1  4 In 3.33, 8 Re 3.53

Values from the calculation:
DFT formation energy in eV/atom: 2.23
Calculated density in g cm⁻³: 11.01
Energy in eV for the cell shown: -31.49

---

# 2
Below is crystalline In2RhAu at its relaxed geometry, with properties calculated at the GGA-PBEsol level.

Cell: 3.1831 3.1831 6.9818 Å, 90.00 90.00 90.00°
With the nearest neighbours (Å) after each atom.
Space group P4/mmm (No. 123)
Unique sites:
1 In 0.0000 0.0000 0.2314 x2  4 Rh 2.77, 4 Au 2.93
2 Rh 0.5000 0.5000 0.0000 x1  8 In 2.77
3 Au 0.5000 0.5000 0.5000 x1  8 In 2.93, 4 Au 3.18

Values from the calculation:
DFT formation energy in eV/atom: -0.24
Calculated density in g cm⁻³: 12.43
Energy in eV for the cell shown: -19.00

---

# 3
Below is crystalline In2RhAu at its relaxed geometry, with properties calculated at the GGA-PBEsol level.

Cell: 3.2861 3.9863 5.5747 Å, 90.00 90.00 90.00°
With the nearest neighbours (Å) after each atom.
Space group Pmm2 (No. 25)
Unique sites:
1 In 0.0000 0.0000 0.0000 x1  2 Rh 2.79, 4 Au 2.80
2 In 0.5000 0.5000 0.3231 x1  2 Au 2.69-2.89, 4 Rh 2.76
3 Rh 0.0000 0.0000 0.4996 x1  6 In 2.76-2.79, 4 Au 3.09
4 Au 0.5000 0.5000 0.8052 x1  6 In 2.69-2.89

Values from the calculation:
DFT formation energy in eV/atom: -0.17
Calculated density in g cm⁻³: 12.04
Energy in eV for the cell shown: -18.72

---

# 4
Below is crystalline InRhAu2 at its relaxed geometry, with properties calculated at the GGA-PBEsol level.

Cell: 3.3874 3.3874 5.8519 Å, 90.00 90.00 90.00°
With the nearest neighbours (Å) after each atom.
Space group P4mm (No. 99)
Unique sites:
1 In 0.0000 0.0000 0.0000 x1  4 Rh 2.73, 6 Au 2.83-3.02
2 Rh 0.5000 0.5000 0.2232 x1  4 In 2.73, 6 Au 2.84-2.94
3 Au 0.0000 0.0000 0.4836 x1  4 Au 2.78, 2 In 2.83-3.02, 4 Rh 2.84
4 Au 0.5000 0.5000 0.7261 x1  4 Au 2.78, 4 In 2.88, 2 Rh 2.91-2.94

Values from the calculation:
DFT formation energy in eV/atom: -0.11
Calculated density in g cm⁻³: 15.13
Energy in eV for the cell shown: -19.43

---

# 5
Below is crystalline In2RhAu at its relaxed geometry, with properties calculated at the GGA-PBEsol level.

Cell: 6.5752 6.5752 6.5752 Å, 90.00 90.00 90.00°
With the nearest neighbours (Å) after each atom.
Space group F-43m (No. 216)
Unique sites:
1 In 0.0000 0.0000 0.0000 x4  4 In 2.85, 4 Au 2.85
2 In 0.2500 0.2500 0.2500 x4  4 In 2.85, 4 Rh 2.85
3 Rh 0.0000 0.0000 0.5000 x4  4 In 2.85, 4 Au 2.85
4 Au 0.2500 0.2500 0.7500 x4  4 In 2.85, 4 Rh 2.85

Values from the calculation:
DFT formation energy in eV/atom: 0.02
Calculated density in g cm⁻³: 12.37
Energy in eV for the cell shown: -71.84

---

# 6
Below is crystalline InRhAu2 at its relaxed geometry, with properties calculated at the GGA-PBEsol level.

Cell: 3.0523 3.7614 5.8230 Å, 90.00 90.00 90.00°
With the nearest neighbours (Å) after each atom.
Space group Pmm2 (No. 25)
Unique sites:
1 In 0.0000 0.0000 0.0000 x1  4 Rh 2.74, 6 Au 2.80-3.03, 2 In 3.05
2 Rh 0.5000 0.5000 0.2213 x1  4 In 2.74, 6 Au 2.85-2.92, 2 Rh 3.05
3 Au 0.0000 0.0000 0.4803 x1  2 In 2.80-3.03, 6 Au 2.80-3.05, 4 Rh 2.85
4 Au 0.5000 0.5000 0.7232 x1  6 Au 2.80-3.05, 2 Rh 2.90-2.92, 4 In 2.91

Values from the calculation:
DFT formation energy in eV/atom: -0.13
Calculated density in g cm⁻³: 15.19
Energy in eV for the cell shown: -19.48

---

Question: The lowest energy belongs to which entry?
Answer: number 5